Below is SrLi6Sn12 after structural relaxation, with properties calculated at the PBE level.

DFT formation energy = -3.68 eV per formula unit
total moment = 0.00 μB per atom
E_tot = -64.9 eV/cell

Cell lengths 8.1504, 8.1504, 8.1504 Å; angles 104.94, 104.94, 104.94 degrees
Fractional positions:
Li 0.7117 0.7117 0.2866
Li 0.2866 0.7117 0.7117
Li 0.7134 0.2883 0.2883
Li 0.2883 0.7134 0.2883
Li 0.7117 0.2866 0.7117
Li 0.2883 0.2883 0.7134
Sn 0.3947 0.1468 0.3947
Sn 0.5000 0.1138 0.8862
Sn 0.8862 0.1138 0.5000
Sn 0.6053 0.6053 0.8532
Sn 0.1468 0.3947 0.3947
Sn 0.3947 0.3947 0.1468
Sn 0.1138 0.8862 0.5000
Sn 0.5000 0.8862 0.1138
Sn 0.8862 0.5000 0.1138
Sn 0.1138 0.5000 0.8862
Sn 0.6053 0.8532 0.6053
Sn 0.8532 0.6053 0.6053
Sr 0.0000 0.0000 0.0000


Below is PrZnGa3 after structural relaxation, with properties calculated at the PBE level.

DFT formation energy = -2.11 eV per formula unit
total moment = 0.00 μB per atom
E_tot = -34.5 eV/cell

Cell lengths 5.7563, 6.0005, 5.7398 Å; angles 90.00, 88.94, 90.00 degrees
Fractional positions:
Ga 0.8340 0.0003 0.8409
Ga 0.1660 0.5003 0.1591
Ga 0.8513 0.2500 0.4476
Ga 0.1660 0.9997 0.1591
Ga 0.8340 0.4997 0.8409
Ga 0.1487 0.7500 0.5524
Pr 0.3334 0.2500 0.6601
Pr 0.6666 0.7500 0.3399
Zn 0.5483 0.2500 0.1420
Zn 0.4517 0.7500 0.8580


Below is MgTaAl2 after structural relaxation, with properties calculated at the PBE level.

DFT formation energy = -0.31 eV per formula unit
total moment = 0.00 μB per atom
E_tot = -21.2 eV/cell

Cell lengths 6.4614, 5.0518, 2.8925 Å; angles 90.13, 63.17, 120.69 degrees
Fractional positions:
Al 0.0000 0.0000 0.0000
Al 0.5000 0.0000 0.5000
Ta 0.5000 0.5000 0.0000
Mg 0.0000 0.5000 0.5000